Density functional theory data (PBE) for an optimized crystal structure of BeCu3Re.

* energy of formation: 0.76 eV/atom
* N(E_F): 2.33 states/eV/cell
* spin magnetization: 0.037 μB per cell
* energy: -24.65 eV/cell

Cell and atoms, written as CIF:
```
data_BeCu3Re
_space_group_name_H-M_alt 'P m -3 m'
_space_group_IT_number 221
_space_group_name_Hall '-P 4 2 3'
_cell_length_a 3.938
_cell_length_b 3.938
_cell_length_c 3.938
_cell_angle_alpha 90.00
_cell_angle_beta 90.00
_cell_angle_gamma 90.00
loop_
_atom_site_label
_atom_site_type_symbol
_atom_site_fract_x
_atom_site_fract_y
_atom_site_fract_z
_atom_site_occupancy
Be1 Be 0.000 0.000 0.000 1
Cu1 Cu 0.000 0.000 0.500 1
Re1 Re 0.500 0.500 0.500 1
```



Density functional theory data (PBE) for an optimized crystal structure of CrIn5Rh6.

* energy of formation: -0.35 eV/atom
* N(E_F): 10.34 states/eV/cell
* spin magnetization: 7.626 μB per cell
* energy: -143.22 eV/cell

Cell and atoms, written as CIF:
```
data_CrIn5Rh6
_space_group_name_H-M_alt 'C m m m'
_space_group_IT_number 65
_space_group_name_Hall '-C 2 2'
_cell_length_a 4.538
_cell_length_b 13.612
_cell_length_c 6.410
_cell_angle_alpha 90.00
_cell_angle_beta 90.00
_cell_angle_gamma 90.00
loop_
_atom_site_label
_atom_site_type_symbol
_atom_site_fract_x
_atom_site_fract_y
_atom_site_fract_z
_atom_site_occupancy
Cr1 Cr 0.000 0.000 0.000 1
In1 In 0.000 0.000 0.500 1
In2 In 0.000 0.333 0.500 1
In3 In 0.000 0.337 0.000 1
Rh1 Rh 0.000 0.166 0.247 1
Rh2 Rh 0.000 0.500 0.247 1
```



Density functional theory data (PBE) for an optimized crystal structure of Er3Ga2Si.

* N(E_F): 12.05 states/eV/cell
* spin magnetization: 0.004 μB per cell
* energy: -115.61 eV/cell
* formation energy (no corrections): -0.6227 eV/atom

Cell and atoms, written as CIF:
```
data_Er3Ga2Si
_space_group_name_H-M_alt 'P n m a'
_space_group_IT_number 62
_cell_length_a 11.673
_cell_length_b 4.009
_cell_length_c 11.765
_cell_angle_alpha 90.00
_cell_angle_beta 90.00
_cell_angle_gamma 90.00
loop_
_space_group_symop_operation_xyz
'x,y,z'
'-x,-y,-z'
'-x+1/2,-y,z+1/2'
'x+1/2,y,-z+1/2'
'x+1/2,-y+1/2,-z+1/2'
'-x+1/2,y+1/2,z+1/2'
'-x,y+1/2,-z'
'x,-y+1/2,z'
loop_
_atom_site_label
_atom_site_type_symbol
_atom_site_fract_x
_atom_site_fract_y
_atom_site_fract_z
_atom_site_occupancy
Er1 Er 0.060 0.250 0.123 1
Er2 Er 0.117 0.750 0.553 1
Er3 Er 0.212 0.250 0.789 1
Ga1 Ga 0.015 0.750 0.309 1
Ga2 Ga 0.188 0.750 0.992 1
Si1 Si 0.131 0.250 0.370 1
```



Density functional theory data (PBE) for an optimized crystal structure of La12NdAl4O3.

* N(E_F): 40.70 states/eV/cell
* spin magnetization: 1.780 μB per cell
* energy: -218.72 eV/cell
* formation energy (no corrections): -0.7808 eV/atom

Cell and atoms, written as CIF:
```
data_La12NdAl4O3
_space_group_name_H-M_alt 'I m -3 m'
_space_group_IT_number 229
_space_group_name_Hall '-I 4 2 3'
_cell_length_a 10.339
_cell_length_b 10.339
_cell_length_c 10.339
_cell_angle_alpha 90.00
_cell_angle_beta 90.00
_cell_angle_gamma 90.00
loop_
_atom_site_label
_atom_site_type_symbol
_atom_site_fract_x
_atom_site_fract_y
_atom_site_fract_z
_atom_site_occupancy
La1 La 0.000 0.000 0.271 1
La2 La 0.000 0.250 0.500 1
Nd1 Nd 0.000 0.000 0.000 1
Al1 Al 0.250 0.250 0.250 1
O1 O 0.000 0.000 0.500 1
```



Density functional theory data (PBE) for an optimized crystal structure of Rb2YTiBr6.

* N(E_F): 0.48 states/eV/cell
* spin magnetization: 12.000 μB per cell
* energy: -163.89 eV/cell
* formation energy (no corrections): -1.4641 eV/atom

Cell and atoms, written as CIF:
```
data_Rb2YTiBr6
_space_group_name_H-M_alt 'F m -3 m'
_space_group_IT_number 225
_space_group_name_Hall '-F 4 2 3'
_cell_length_a 11.065
_cell_length_b 11.065
_cell_length_c 11.065
_cell_angle_alpha 90.00
_cell_angle_beta 90.00
_cell_angle_gamma 90.00
loop_
_atom_site_label
_atom_site_type_symbol
_atom_site_fract_x
_atom_site_fract_y
_atom_site_fract_z
_atom_site_occupancy
Rb1 Rb 0.250 0.250 0.250 1
Y1 Y 0.000 0.000 0.000 1
Ti1 Ti 0.000 0.000 0.500 1
Br1 Br 0.000 0.000 0.254 1
```



Density functional theory data (PBE) for an optimized crystal structure of SmPuPa2N6.

* N(E_F): 28.46 states/eV/cell
* spin magnetization: 9.000 μB per cell
* energy: -304.78 eV/cell
* formation energy (no corrections): -1.3597 eV/atom

Cell and atoms, written as CIF:
```
data_SmPuPa2N6
_space_group_name_H-M_alt 'R 3'
_space_group_IT_number 146
_space_group_name_Hall 'R 3'
_cell_length_a 5.9975
_cell_length_b 5.9975
_cell_length_c 14.8746
_cell_angle_alpha 90.00
_cell_angle_beta 90.00
_cell_angle_gamma 120.00
loop_
_atom_site_label
_atom_site_type_symbol
_atom_site_fract_x
_atom_site_fract_y
_atom_site_fract_z
_atom_site_occupancy
Sm1 Sm 0.0000 0.0000 0.0000 1
Pu1 Pu 0.0000 0.0000 0.4824 1
Pa1 Pa 0.0000 0.0000 0.2645 1
Pa2 Pa 0.0000 0.0000 0.7709 1
N1 N 0.0035 0.2992 0.8702 1
N2 N 0.0274 0.7419 0.3772 1
```



The lowest energy belongs to which entry? SmPuPa2N6



What did the sixth record say?
Density functional theory data (PBE) for an optimized crystal structure of SmPuPa2N6.

* N(E_F): 28.46 states/eV/cell
* spin magnetization: 9.000 μB per cell
* energy: -304.78 eV/cell
* formation energy (no corrections): -1.3597 eV/atom

Cell and atoms, written as CIF:
```
data_SmPuPa2N6
_space_group_name_H-M_alt 'R 3'
_space_group_IT_number 146
_space_group_name_Hall 'R 3'
_cell_length_a 5.9975
_cell_length_b 5.9975
_cell_length_c 14.8746
_cell_angle_alpha 90.00
_cell_angle_beta 90.00
_cell_angle_gamma 120.00
loop_
_atom_site_label
_atom_site_type_symbol
_atom_site_fract_x
_atom_site_fract_y
_atom_site_fract_z
_atom_site_occupancy
Sm1 Sm 0.0000 0.0000 0.0000 1
Pu1 Pu 0.0000 0.0000 0.4824 1
Pa1 Pa 0.0000 0.0000 0.2645 1
Pa2 Pa 0.0000 0.0000 0.7709 1
N1 N 0.0035 0.2992 0.8702 1
N2 N 0.0274 0.7419 0.3772 1
```



Look up the N(E_F) of the first one. 2.33 states/eV/cell